Entry 1:
Crystalline Mg6Tl2N at its relaxed geometry. Source: Alexandria, functional PBE.

The structure in extended XYZ format:
```
9
Lattice="-3.1571 3.1571 4.4866 3.1571 -3.1571 4.4866 3.1571 3.1571 -4.4866" Properties=species:S:1:pos:R:3 pbc="T T T"
Mg 0.0000 0.0000 2.1859
Mg 1.5431 1.5431 0.0000
Mg 1.6140 -1.6140 4.4866
Mg -1.6140 1.6140 4.4866
Mg 0.0000 0.0000 6.7874
Mg 1.6140 1.6140 4.4866
Tl 3.1571 0.0000 2.2433
Tl 0.0000 3.1571 2.2433
N 0.0000 0.0000 0.0000
```

Results
E_tot: -24.55 eV per cell

***

Entry 2:
Crystalline Nd2ErHg6 at its relaxed geometry. Source: Alexandria, functional PBE.

The structure in extended XYZ format:
```
9
Lattice="8.6974 0.0000 0.0000 -4.3487 7.5322 0.0000 0.0000 0.0000 3.4661" Properties=species:S:1:pos:R:3 pbc="T T T"
Nd 0.0000 5.0215 0.0000
Nd 4.3487 2.5107 0.0000
Er 0.0000 0.0000 0.0000
Hg -1.4369 2.4887 1.7331
Hg -2.9118 5.0435 1.7331
Hg 2.8737 0.0000 1.7331
Hg 1.4369 2.4887 1.7331
Hg 5.8237 0.0000 1.7331
Hg 2.9118 5.0435 1.7331
```

Results
formation energy: -405 meV per atom
E_tot: -19.55 eV per cell